#w
Density functional theory data (GGA-PBE) for a relaxed structure of TbSm3In4.

Cell lengths 3.8156, 3.8156, 15.2854 Å; angles 90.00, 90.00, 90.00 degrees
Element x y z (fractional)
Tb 0.0000 0.0000 0.0000
Sm 0.0000 0.0000 0.2472
Sm 0.0000 0.0000 0.5000
Sm 0.0000 0.0000 0.7528
In 0.5000 0.5000 0.1205
In 0.5000 0.5000 0.3736
In 0.5000 0.5000 0.6264
In 0.5000 0.5000 0.8795

Summary:
- total moment (μB per cell) = 0.00
- D(E_F) (states/eV/atom) = 0.598

=====

#x
Density functional theory data (GGA-PBE) for a relaxed structure of TbSm3In4.

Cell lengths 3.5277, 7.0504, 19.2921 Å; angles 90.00, 90.00, 90.00 degrees
Element x y z (fractional)
Tb 0.0000 0.0000 0.0000
Tb 0.5000 0.5000 0.5000
Sm 0.0000 0.0000 0.5000
Sm 0.0000 0.5000 0.2778
Sm 0.0000 0.5000 0.7222
Sm 0.5000 0.0000 0.2222
Sm 0.5000 0.0000 0.7778
Sm 0.5000 0.5000 0.0000
In 0.0000 0.2840 0.1258
In 0.0000 0.2840 0.8742
In 0.0000 0.7160 0.1258
In 0.0000 0.7160 0.8742
In 0.5000 0.2160 0.3742
In 0.5000 0.2160 0.6258
In 0.5000 0.7840 0.3742
In 0.5000 0.7840 0.6258

Summary:
- total moment (μB per cell) = 0.29
- D(E_F) (states/eV/atom) = 0.923

=====

The structure with the least stability is #x.

=====

#w
Density functional theory data (GGA-PBE) for a relaxed structure of Tb3SmIn3.

Cell lengths 9.4515, 9.4515, 5.1722 Å; angles 90.00, 90.00, 120.00 degrees
Element x y z (fractional)
Tb 0.0000 0.2337 0.2500
Tb 0.0000 0.7663 0.7500
Tb 0.2337 0.0000 0.2500
Tb 0.2337 0.2337 0.7500
Tb 0.7663 0.0000 0.7500
Tb 0.7663 0.7663 0.2500
Sm 0.3333 0.6667 0.2500
Sm 0.6667 0.3333 0.7500
In 0.0690 0.4531 0.7500
In 0.3840 0.9310 0.7500
In 0.4531 0.3840 0.2500
In 0.5469 0.6160 0.7500
In 0.6160 0.0690 0.2500
In 0.9310 0.5469 0.2500

Summary:
- total moment (μB per cell) = 0.00
- D(E_F) (states/eV/atom) = 0.809

=====

#x
Density functional theory data (GGA-PBE) for a relaxed structure of Tb3SmIn3.

Cell lengths 9.3867, 9.3867, 9.3867 Å; angles 90.00, 90.00, 90.00 degrees
Element x y z (fractional)
Tb 0.0793 0.4207 0.5793
Tb 0.1763 0.8237 0.3237
Tb 0.1766 0.1766 0.1766
Tb 0.3234 0.8234 0.6766
Tb 0.3237 0.1763 0.8237
Tb 0.4207 0.5793 0.0793
Tb 0.5793 0.0793 0.4207
Tb 0.6763 0.6763 0.6763
Tb 0.6766 0.3234 0.8234
Tb 0.8234 0.6766 0.3234
Tb 0.8237 0.3237 0.1763
Tb 0.9207 0.9207 0.9207
Sm 0.0723 0.5723 0.9277
Sm 0.4277 0.4277 0.4277
Sm 0.5723 0.9277 0.0723
Sm 0.9277 0.0723 0.5723
In 0.0008 0.7449 0.6210
In 0.1210 0.4992 0.2551
In 0.2449 0.8790 0.9992
In 0.2551 0.1210 0.4992
In 0.3790 0.5008 0.7551
In 0.4992 0.2551 0.1210
In 0.5008 0.7551 0.3790
In 0.6210 0.0008 0.7449
In 0.7449 0.6210 0.0008
In 0.7551 0.3790 0.5008
In 0.8790 0.9992 0.2449
In 0.9992 0.2449 0.8790

Summary:
- total moment (μB per cell) = 0.00
- D(E_F) (states/eV/atom) = 1.228

=====

The structure with the least stability is #x.

=====

#w
Density functional theory data (GGA-PBE) for a relaxed structure of Tb4SmIn.

Cell lengths 7.8491, 7.8491, 9.9404 Å; angles 90.00, 90.00, 143.84 degrees
Element x y z (fractional)
Tb 0.0008 0.9992 0.5000
Tb 0.1733 0.8267 0.7501
Tb 0.3327 0.6673 0.0041
Tb 0.4948 0.5052 0.7502
Tb 0.5052 0.4948 0.2502
Tb 0.6673 0.3327 0.5041
Tb 0.8267 0.1733 0.2501
Tb 0.9992 0.0008 0.0000
Sm 0.3317 0.6683 0.4955
Sm 0.6683 0.3317 0.9955
In 0.1653 0.8347 0.2510
In 0.8347 0.1653 0.7510

Summary:
- total moment (μB per cell) = 0.00
- D(E_F) (states/eV/atom) = 1.245

=====

#x
Density functional theory data (GGA-PBE) for a relaxed structure of Tb4SmIn.

Cell lengths 3.5913, 3.5913, 14.3557 Å; angles 90.00, 90.00, 90.00 degrees
Element x y z (fractional)
Tb 0.0000 0.0000 0.1466
Tb 0.0000 0.0000 0.8534
Tb 0.5000 0.5000 0.3224
Tb 0.5000 0.5000 0.6776
Sm 0.0000 0.0000 0.5000
In 0.5000 0.5000 0.0000

Summary:
- total moment (μB per cell) = 0.00
- D(E_F) (states/eV/atom) = 1.227

=====

The structure with the least stability is #w.

=====

#w
Density functional theory data (GGA-PBE) for a relaxed structure of TbSmYIn.

Cell lengths 4.8577, 4.8759, 4.9310 Å; angles 90.00, 90.00, 90.00 degrees
Element x y z (fractional)
Tb 0.0000 0.0000 0.0000
Sm 0.5000 0.5000 0.0000
Y 0.0000 0.5000 0.5000
In 0.5000 0.0000 0.5000

Summary:
- total moment (μB per cell) = 0.67
- D(E_F) (states/eV/atom) = 1.422

=====

#x
Density functional theory data (GGA-PBE) for a relaxed structure of TbSmYIn.

Cell lengths 7.7672, 7.7672, 7.7672 Å; angles 90.00, 90.00, 90.00 degrees
Element x y z (fractional)
Tb 0.0000 0.0000 0.0000
Tb 0.0000 0.5000 0.5000
Tb 0.5000 0.0000 0.5000
Tb 0.5000 0.5000 0.0000
Sm 0.2500 0.2500 0.2500
Sm 0.2500 0.7500 0.7500
Sm 0.7500 0.2500 0.7500
Sm 0.7500 0.7500 0.2500
Y 0.0000 0.0000 0.5000
Y 0.0000 0.5000 0.0000
Y 0.5000 0.0000 0.0000
Y 0.5000 0.5000 0.5000
In 0.2500 0.2500 0.7500
In 0.2500 0.7500 0.2500
In 0.7500 0.2500 0.2500
In 0.7500 0.7500 0.7500

Summary:
- total moment (μB per cell) = 5.99
- D(E_F) (states/eV/atom) = 1.402

=====

The structure with the least stability is #x.

=====

#w
Density functional theory data (GGA-PBE) for a relaxed structure of Sm4InTe3.

Cell lengths 6.3020, 6.3020, 12.5982 Å; angles 90.00, 90.00, 90.00 degrees
Element x y z (fractional)
Sm 0.0000 0.0000 0.2473
Sm 0.0000 0.0000 0.7527
Sm 0.0000 0.5000 0.0000
Sm 0.0000 0.5000 0.5000
Sm 0.5000 0.0000 0.0000
Sm 0.5000 0.0000 0.5000
Sm 0.5000 0.5000 0.2527
Sm 0.5000 0.5000 0.7473
In 0.0000 0.0000 0.0000
In 0.5000 0.5000 0.5000
Te 0.0000 0.0000 0.5000
Te 0.0000 0.5000 0.2500
Te 0.0000 0.5000 0.7500
Te 0.5000 0.0000 0.2500
Te 0.5000 0.0000 0.7500
Te 0.5000 0.5000 0.0000

Summary:
- total moment (μB per cell) = 0.00
- D(E_F) (states/eV/atom) = 0.312

=====

#x
Density functional theory data (GGA-PBE) for a relaxed structure of Sm4InTe3.

Cell lengths 8.9838, 12.6080, 4.4303 Å; angles 90.00, 90.00, 90.00 degrees
Element x y z (fractional)
Sm 0.0000 0.2447 0.0000
Sm 0.0000 0.7553 0.0000
Sm 0.2445 0.0000 0.5000
Sm 0.2555 0.5000 0.5000
Sm 0.5000 0.2553 0.0000
Sm 0.5000 0.7447 0.0000
Sm 0.7445 0.5000 0.5000
Sm 0.7555 0.0000 0.5000
In 0.0000 0.0000 0.0000
In 0.5000 0.5000 0.0000
Te 0.0000 0.5000 0.0000
Te 0.2500 0.2500 0.5000
Te 0.2500 0.7500 0.5000
Te 0.5000 0.0000 0.0000
Te 0.7500 0.2500 0.5000
Te 0.7500 0.7500 0.5000

Summary:
- total moment (μB per cell) = 0.00
- D(E_F) (states/eV/atom) = 0.384

=====

The structure with the least stability is #x.

=====

#w
Density functional theory data (GGA-PBE) for a relaxed structure of SmThIn.

Cell lengths 4.1216, 4.1216, 10.4390 Å; angles 90.00, 90.00, 90.00 degrees
Element x y z (fractional)
Sm 0.0000 0.0000 0.0000
Sm 0.5000 0.5000 0.5000
Th 0.0000 0.0000 0.6823
Th 0.5000 0.5000 0.1823
In 0.0000 0.0000 0.3462
In 0.5000 0.5000 0.8462

Summary:
- total moment (μB per cell) = 0.00
- D(E_F) (states/eV/atom) = 0.915

=====

#x
Density functional theory data (GGA-PBE) for a relaxed structure of SmThIn.

Cell lengths 5.3816, 5.3816, 3.6304 Å; angles 90.00, 90.00, 120.00 degrees
Element x y z (fractional)
Sm 0.0000 0.0000 0.0000
Th 0.3333 0.6667 0.5617
In 0.6667 0.3333 0.2389

Summary:
- total moment (μB per cell) = 0.00
- D(E_F) (states/eV/atom) = 1.518

=====

#y
Density functional theory data (GGA-PBE) for a relaxed structure of SmThIn.

Cell lengths 12.5167, 3.5345, 8.3905 Å; angles 90.00, 94.17, 90.00 degrees
Element x y z (fractional)
Sm 0.0000 0.0000 0.0000
Sm 0.2117 0.5000 0.2487
Sm 0.5000 0.5000 0.0000
Sm 0.7117 0.0000 0.2487
Th 0.1021 0.0000 0.5789
Th 0.3465 0.5000 0.6319
Th 0.6021 0.5000 0.5789
Th 0.8465 0.0000 0.6319
In 0.2636 0.0000 0.9353
In 0.4442 0.0000 0.3170
In 0.7636 0.5000 0.9353
In 0.9442 0.5000 0.3170

Summary:
- total moment (μB per cell) = 0.00
- D(E_F) (states/eV/atom) = 1.141

=====

#z
Density functional theory data (GGA-PBE) for a relaxed structure of SmThIn.

Cell lengths 4.6914, 4.6914, 17.3172 Å; angles 90.00, 90.00, 90.00 degrees
Element x y z (fractional)
Sm 0.0000 0.0000 0.1777
Sm 0.0000 0.0000 0.8223
Sm 0.5000 0.5000 0.3223
Sm 0.5000 0.5000 0.6777
Th 0.0000 0.5000 0.0000
Th 0.0000 0.5000 0.5000
Th 0.5000 0.0000 0.0000
Th 0.5000 0.0000 0.5000
In 0.0000 0.0000 0.3615
In 0.0000 0.0000 0.6385
In 0.5000 0.5000 0.1385
In 0.5000 0.5000 0.8615

Summary:
- total moment (μB per cell) = 0.00
- D(E_F) (states/eV/atom) = 1.024

=====

The structure with the least stability is #x.